(1)
Below is an optimized crystal structure of BeCuHg2, with properties calculated at the PBE level.

The structure in POSCAR format:
```
BeCuHg2
1.0
3.0414 0.0000 0.0000
0.0000 2.7982 0.0000
0.0000 0.0000 8.1942
Be Hg Cu
1 2 1
Direct
0.0000 0.0000 0.5564
0.0000 0.0000 0.9466
0.5000 0.5000 0.3128
0.5000 0.5000 0.6842
```

(2)
BeCuHg, optimized geometry, DFT PBE; relative energy among the computed polymorphs = 0.0686 eV per atom
1.0
4.0193 0.0000 0.0000
2.0097 3.4808 0.0000
2.0097 1.1603 3.2818
Be Hg Cu
1 1 1
Direct
0.7500 0.7500 0.7500
0.5000 0.5000 0.5000
0.0000 0.0000 0.0000

(3)
Below is an optimized crystal structure of BeCuHg2, with properties calculated at the PBE level.

The structure in POSCAR format:
```
BeCuHg2
1.0
7.0292 0.0000 0.0000
0.0000 7.0292 0.0000
3.5146 3.5146 2.9343
Be Hg Cu
2 4 2
Direct
0.5000 0.5000 0.0000
0.2500 0.7500 0.5000
0.5929 0.1250 0.2500
0.1571 0.6250 0.2500
0.3750 0.4071 0.7500
0.8750 0.8429 0.7500
0.0000 0.0000 0.0000
0.7500 0.2500 0.5000
```

(4)
Below is an optimized crystal structure of BeCuHg2, with properties calculated at the PBE level.

The structure in POSCAR format:
```
BeCuHg2
1.0
4.7068 -0.0819 -0.0467
3.7504 2.8451 -0.0467
1.9585 0.6399 5.0301
Be Hg Cu
1 2 1
Direct
0.7500 0.7500 0.7500
0.0180 0.0180 0.9868
0.4820 0.4820 0.5132
0.2500 0.2500 0.2500
```

(5)
Below is an optimized crystal structure of BeCuHg4, with properties calculated at the PBE level.

The structure in POSCAR format:
```
BeCuHg4
1.0
0.0000 4.0863 4.0863
4.0863 0.0000 4.0863
4.0863 4.0863 0.0000
Be Cu Hg
1 1 4
Direct
0.7500 0.7500 0.7500
0.0000 0.0000 0.0000
0.8752 0.3749 0.3749
0.3749 0.3749 0.8752
0.3749 0.8752 0.3749
0.3749 0.3749 0.3749
```

(6)
Below is an optimized crystal structure of BeCuHg2, with properties calculated at the PBE level.

The structure in POSCAR format:
```
BeCuHg2
1.0
8.2193 0.0201 0.0119
7.6125 3.0996 0.0119
7.6125 1.5001 2.7125
Be Hg Cu
1 2 1
Direct
0.2500 0.2500 0.2500
0.9941 0.9941 0.9941
0.5059 0.5059 0.5059
0.7500 0.7500 0.7500
```

(7)
BeCuHg, optimized geometry, DFT PBE; relative energy among the computed polymorphs = 0.1050 eV per atom
1.0
-0.3202 -3.0586 2.7414
-1.3772 -0.5290 -3.8466
2.6148 -0.9907 -0.7999
Be Hg Cu
1 1 1
Direct
0.0000 0.0000 0.0803
0.3333 0.6667 0.7000
0.6667 0.3333 0.2196

(8)
Below is an optimized crystal structure of BeCuHg2, with properties calculated at the PBE level.

The structure in POSCAR format:
```
BeCuHg2
1.0
-2.9303 2.8389 -2.0441
-2.2631 -1.3507 -3.7253
-4.4866 -0.8035 0.2219
Be Hg Cu
1 2 1
Direct
0.5000 0.5000 0.5000
0.0000 0.0000 0.0000
0.2500 0.2500 0.2500
0.7500 0.7500 0.7500
```

Values for energy of formation, eV per atom, ordered as above
0.28; 0.33; 0.51; 0.43; 0.80; 0.42; 0.36; 0.52
Values for calculated volume, Å³ per atom, ordered as above
17.434; 15.304; 18.123; 17.301; 22.744; 17.100; 14.250; 16.799